# 1
Tm2Al2In | GGA-PBE | relaxed

POSCAR file:
```
Tm2Al2In
1.0
4.5122 0.0000 0.0000
0.0000 14.5046 0.0000
0.0000 0.0000 3.4171
Tm Al In
4 4 2
Direct
0.0000 0.1205 0.0000 Tm
0.0000 0.8795 0.0000 Tm
0.5000 0.3795 0.0000 Tm
0.5000 0.6205 0.0000 Tm
0.0000 0.2979 0.5000 Al
0.0000 0.7021 0.5000 Al
0.5000 0.2021 0.5000 Al
0.5000 0.7979 0.5000 Al
0.0000 0.5000 0.5000 In
0.5000 0.0000 0.5000 In
```

Computed properties:
- E above lowest polymorph: 0.000 eV/atom
- E_form: -456 meV per atom
- Symmetry: No. 65

# 2
Tb2ErPuN4 | GGA-PBE | relaxed

POSCAR file:
```
Tb2ErPuN4
1.0
5.9974 0.0000 0.0000
0.0000 3.4794 0.0000
-1.9888 0.0000 5.6616
Tb Er Pu N
2 1 1 4
Direct
0.0000 0.0000 0.0000 Tb
0.5000 0.5000 0.0000 Tb
0.0000 0.5000 0.5000 Er
0.5000 0.0000 0.5000 Pu
0.2511 0.0000 0.7424 N
0.2557 0.5000 0.2594 N
0.7443 0.5000 0.7406 N
0.7489 0.0000 0.2576 N
```

Computed properties:
- Energy relative to the elements, uncorrected: -1581 meV per atom
- Symmetry: No. 10

# 3
CeMgScIr | GGA-PBE | relaxed

POSCAR file:
```
CeMgScIr
1.0
6.9740 0.0000 0.0000
0.0000 6.9740 0.0000
0.0000 0.0000 6.9740
Ce Mg Sc Ir
4 4 4 4
Direct
0.0000 0.0000 0.0000 Ce
0.0000 0.5000 0.5000 Ce
0.5000 0.0000 0.5000 Ce
0.5000 0.5000 0.0000 Ce
0.2500 0.2500 0.7500 Mg
0.2500 0.7500 0.2500 Mg
0.7500 0.2500 0.2500 Mg
0.7500 0.7500 0.7500 Mg
0.0000 0.0000 0.5000 Sc
0.0000 0.5000 0.0000 Sc
0.5000 0.0000 0.0000 Sc
0.5000 0.5000 0.5000 Sc
0.2500 0.2500 0.2500 Ir
0.2500 0.7500 0.7500 Ir
0.7500 0.2500 0.7500 Ir
0.7500 0.7500 0.2500 Ir
```

Computed properties:
- E_form: -352 meV per atom
- Symmetry: No. 216

# 4
CsPmCdF6 | GGA-PBE | relaxed

POSCAR file:
```
CsPmCdF6
1.0
-4.0989 4.2879 5.9842
4.0989 -4.2879 5.9842
4.0989 4.2879 -5.9842
Cs Pm Cd F
2 2 2 12
Direct
0.3092 0.0592 0.2500 Cs
0.6908 0.9408 0.7500 Cs
0.0000 0.5000 0.5000 Pm
0.5000 0.5000 0.0000 Pm
0.0000 0.0000 0.5000 Cd
0.0000 0.5000 0.0000 Cd
0.0533 0.4106 0.2308 F
0.0533 0.8225 0.6428 F
0.0666 0.8166 0.2500 F
0.3179 0.5679 0.7500 F
0.3203 0.1775 0.7308 F
0.3203 0.5894 0.1427 F
0.6797 0.4106 0.8572 F
0.6797 0.8225 0.2692 F
0.6821 0.4321 0.2500 F
0.9334 0.1834 0.7500 F
0.9467 0.1775 0.3572 F
0.9467 0.5894 0.7692 F
```

Computed properties:
- Energy relative to the elements, uncorrected: -3139 meV per atom
- Symmetry: No. 74

# 5
Mg2CdHPt | GGA-PBE | relaxed

POSCAR file:
```
Mg2CdHPt
1.0
4.5516 0.0000 0.0000
0.0000 4.5516 0.0000
0.0000 0.0000 3.6641
Mg Cd H Pt
2 1 1 1
Direct
0.0000 0.5000 0.0000 Mg
0.5000 0.0000 0.0000 Mg
0.0000 0.0000 0.5000 Cd
0.5000 0.5000 0.0000 H
0.5000 0.5000 0.5000 Pt
```

Computed properties:
- E above lowest polymorph: 0.000 eV/atom
- Symmetry: No. 123

# 6
CaY3Mg4 | GGA-PBE | relaxed

POSCAR file:
```
CaY3Mg4
1.0
5.4383 0.0000 0.0000
0.0000 5.4383 0.0000
0.0000 0.0000 7.6645
Ca Y Mg
1 3 4
Direct
0.0000 0.0000 0.0000 Ca
0.0000 0.0000 0.5000 Y
0.5000 0.5000 0.0000 Y
0.5000 0.5000 0.5000 Y
0.0000 0.5000 0.2554 Mg
0.0000 0.5000 0.7446 Mg
0.5000 0.0000 0.2554 Mg
0.5000 0.0000 0.7446 Mg
```

Computed properties:
- E_form: -91 meV per atom
- Symmetry: No. 123

# 7
Rb2MgBrCl6 | GGA-PBE | relaxed

POSCAR file:
```
Rb2MgBrCl6
1.0
-4.0429 4.0429 4.5469
4.0429 -4.0429 4.5469
4.0429 4.0429 -4.5469
Rb Mg Br Cl
2 1 1 6
Direct
0.2500 0.7500 0.5000 Rb
0.7500 0.2500 0.5000 Rb
0.0000 0.0000 0.0000 Mg
0.5000 0.5000 0.0000 Br
0.2182 0.2182 0.4364 Cl
0.2182 0.7818 0.0000 Cl
0.2544 0.2544 0.0000 Cl
0.7456 0.7456 0.0000 Cl
0.7818 0.2182 0.0000 Cl
0.7818 0.7818 0.5636 Cl
```

Computed properties:
- Energy relative to the elements, uncorrected: -1162 meV per atom
- Symmetry: No. 139

# 8
MgAgOs | GGA-PBE | relaxed

POSCAR file:
```
MgAgOs
1.0
2.9606 0.0000 0.0000
0.0000 4.6708 0.0000
0.0000 0.0000 14.1342
Mg Ag Os
4 4 4
Direct
0.0000 0.0000 0.0000 Mg
0.0000 0.5000 0.5000 Mg
0.5000 0.0000 0.5000 Mg
0.5000 0.5000 0.0000 Mg
0.0000 0.0000 0.6677 Ag
0.0000 0.5000 0.1677 Ag
0.5000 0.0000 0.1677 Ag
0.5000 0.5000 0.6677 Ag
0.0000 0.0000 0.3431 Os
0.0000 0.5000 0.8431 Os
0.5000 0.0000 0.8431 Os
0.5000 0.5000 0.3431 Os
```

Computed properties:
- E above lowest polymorph: 0.047 eV/atom
- E_form: 362 meV per atom
- Symmetry: No. 42

# 9
TaVPb3 | GGA-PBE | relaxed

POSCAR file:
```
TaVPb3
1.0
5.4878 0.0000 0.0000
0.0000 5.4878 0.0000
0.0000 0.0000 5.4878
Ta V Pb
1 1 3
Direct
0.0000 0.0000 0.0000 Ta
0.5000 0.5000 0.5000 V
0.0000 0.0000 0.5000 Pb
0.0000 0.5000 0.0000 Pb
0.5000 0.0000 0.0000 Pb
```

Computed properties:
- E above lowest polymorph: 0.000 eV/atom
- E_form: 1106 meV per atom
- Symmetry: No. 221

# 10
ReClF2 | GGA-PBE | relaxed

POSCAR file:
```
ReClF2
1.0
4.6522 0.0000 0.0000
0.0000 4.6522 0.0000
0.0000 0.0000 13.5486
Re Cl F
4 4 8
Direct
0.0000 0.0000 0.0000 Re
0.0000 0.5000 0.2500 Re
0.5000 0.0000 0.7500 Re
0.5000 0.5000 0.5000 Re
0.0000 0.0000 0.5000 Cl
0.0000 0.5000 0.7500 Cl
0.5000 0.0000 0.2500 Cl
0.5000 0.5000 0.0000 Cl
0.0031 0.2500 0.1250 F
0.2500 0.5031 0.3750 F
0.2500 0.9969 0.8750 F
0.4969 0.2500 0.6250 F
0.5031 0.7500 0.6250 F
0.7500 0.0031 0.8750 F
0.7500 0.4969 0.3750 F
0.9969 0.7500 0.1250 F
```

Computed properties:
- E above lowest polymorph: 0.000 eV/atom
- Energy relative to the elements, uncorrected: -354 meV per atom
- Symmetry: No. 122

# 11
Be3Al | GGA-PBE | relaxed

POSCAR file:
```
Be3Al
1.0
6.1372 0.0000 0.0000
0.0000 6.0777 0.0000
0.0000 0.0000 4.4128
Be Al
12 4
Direct
0.1226 0.2500 0.1037 Be
0.1797 0.5647 0.9096 Be
0.1797 0.9353 0.9096 Be
0.3203 0.0647 0.4096 Be
0.3203 0.4353 0.4096 Be
0.3774 0.7500 0.6037 Be
0.6226 0.2500 0.3963 Be
0.6797 0.5647 0.5904 Be
0.6797 0.9353 0.5904 Be
0.8203 0.0647 0.0904 Be
0.8203 0.4353 0.0904 Be
0.8774 0.7500 0.8963 Be
0.0272 0.7500 0.3936 Al
0.4728 0.2500 0.8936 Al
0.5272 0.7500 0.1064 Al
0.9728 0.2500 0.6064 Al
```

Computed properties:
- E_form: 149 meV per atom
- Symmetry: No. 62

# 12
Sc4Te2AsAu | GGA-PBE | relaxed

POSCAR file:
```
Sc4Te2AsAu
1.0
7.0112 0.0000 0.0000
0.0000 3.9764 0.0000
-2.2705 0.0000 6.7535
Sc Te As Au
4 2 1 1
Direct
0.2196 0.0000 0.2336 Sc
0.2233 0.5000 0.7478 Sc
0.7767 0.5000 0.2522 Sc
0.7804 0.0000 0.7664 Sc
0.5000 0.0000 0.0000 Te
0.5000 0.5000 0.5000 Te
0.0000 0.5000 0.0000 As
0.0000 0.0000 0.5000 Au
```

Computed properties:
- Energy relative to the elements, uncorrected: -1073 meV per atom
- Symmetry: No. 10